Density functional theory data (GGA-PBE) for a relaxed V2Fe2Os crystal.

abc: 6.650 6.650 2.789
angles: 90.00 90.00 90.00
Space group P4/mbm (No. 127)
Symmetry-distinct sites (fractional):
V 0.172 0.328 0.000 [4 per cell]
Fe 0.129 0.629 0.500 [4 per cell]
Os 0.000 0.000 0.500 [2 per cell]

## Properties
- volume (Å³/cell) = 123.4
- electronic total energy (Ry per atom) = -0.6811
- mass density (g/cm3) = 10.87
- ΔH_f (0 K) (eV per atom) = 0.012